VASP calculation (PBE-GGA) on crystalline LiAgGeTeS2 at its relaxed geometry.

Cell lengths 7.1934, 7.1934, 10.9756 Å; angles 90.00, 90.00, 152.30 degrees
Element x y z (fractional)
1 Li 0.2240 0.7760 0.7500
2 Li 0.7760 0.2240 0.2500
3 Ag 0.1200 0.8800 0.2500
4 Ag 0.8800 0.1200 0.7500
5 Ge 0.5000 0.5000 0.0000
6 Ge 0.5000 0.5000 0.5000
7 Te 0.4336 0.5664 0.2500
8 Te 0.5664 0.4336 0.7500
9 S 0.1256 0.8744 0.0325
10 S 0.1256 0.8744 0.4675
11 S 0.8744 0.1256 0.5325
12 S 0.8744 0.1256 0.9675

Results
total energy	-3.6900	eV per atom